DFT (PBE) results for a relaxed structure of LiPmCoBi.

Computed properties:
- space group = F-43m
- ΔH_f (0 K) (kJ per mole of atoms) = -30.0
- crystal system = cubic

a = 4.7543 Å, b = 4.7543 Å, c = 4.7543 Å
α = 60.00°, β = 60.00°, γ = 60.00°
Closest atoms and distances in Å follow each position.
Fractional positions:
Li  0.0000  0.0000  0.0000  4 Bi 2.91, 4 Pm 2.91
Co  0.5000  0.5000  0.5000  4 Bi 2.91, 4 Pm 2.91
Bi  0.7500  0.7500  0.7500  4 Co 2.91, 4 Li 2.91
Pm  0.2500  0.2500  0.2500  4 Co 2.91, 4 Li 2.91